Record 1
Density functional theory data (PBE-GGA) for crystalline NaErSnHg at its relaxed geometry.

Calculated values
D(E_F): 0.36 states/eV per atom
Calculated volume: 101.57 Å³/cell
SG: F-43m (216)
Energy of formation: -0.41 eV per atom

Geometry as POSCAR:
```
NaErSnHg
1.0
5.237 0.000 0.000
2.619 4.536 0.000
2.619 1.512 4.276
Na Hg Sn Er
1 1 1 1
Cartesian
5.237 3.024 2.138 Na
7.856 4.536 3.207 Hg
2.619 1.512 1.069 Sn
0.000 0.000 0.000 Er
```

***

Record 2
Density functional theory data (PBE-GGA) for crystalline Sr4Bi2S at its relaxed geometry.

Calculated values
Formation energy without anion corrections: -1.19 eV/atom
Calculated volume: 270.11 Å³/cell
SG: I4/mmm (139)
ΔE to the lowest computed polymorph: 18.6 meV per atom

Geometry as POSCAR:
```
Sr4Bi2S
1.0
-0.813 0.439 5.457
1.436 -5.307 0.641
8.105 4.839 -1.988
Sr S Bi
4 1 2
Cartesian
5.772 -0.873 3.737 Sr
2.956 0.845 0.373 Sr
0.718 -2.653 0.320 Sr
-0.407 0.219 2.729 Sr
0.000 0.000 0.000 S
2.569 -1.789 3.334 Bi
6.158 1.760 0.776 Bi
```

***

Record 3
Density functional theory data (PBE-GGA) for crystalline AcPm2Dy4Tm at its relaxed geometry.

Calculated values
D(E_F): 2.31 states/eV per atom
Calculated volume: 553.66 Å³/cell
SG: C2/c (15)
Energy of formation: 0.43 eV per atom

Geometry as POSCAR:
```
AcPm2Dy4Tm
1.0
9.470 -0.024 -1.718
-0.030 9.470 -1.718
-6.014 -6.019 8.364
Ac Pm Dy Tm
2 4 8 2
Cartesian
-0.015 4.735 -0.859 Ac
6.447 1.702 1.605 Ac
4.735 -0.012 -0.859 Pm
1.728 -3.021 3.323 Pm
-3.007 -3.009 4.182 Pm
4.720 4.723 -1.718 Pm
2.328 7.196 -1.658 Dy
3.987 -0.644 2.403 Dy
-0.563 4.071 2.524 Dy
1.097 -3.769 6.585 Dy
1.024 1.182 5.744 Dy
3.957 4.116 1.648 Dy
-0.532 -0.689 3.280 Dy
2.401 2.246 -0.816 Dy
1.712 1.714 2.464 Tm
3.455 -6.042 6.646 Tm
```

***

Record 4
Density functional theory data (PBE-GGA) for crystalline Ba2CoMo at its relaxed geometry.

Calculated values
D(E_F): 1.03 states/eV per atom
Calculated volume: 113.15 Å³/cell
SG: R-3m (166)
Energy of formation: 1.35 eV per atom
ΔE to the lowest computed polymorph: 717.3 meV per atom

Geometry as POSCAR:
```
Ba2CoMo
1.0
-6.116 6.755 3.940
-7.924 5.919 0.857
-8.319 3.821 3.843
Ba Co Mo
2 1 1
Cartesian
-22.243 16.410 8.596 Ba
-11.295 8.333 4.365 Ba
-5.590 4.124 2.160 Co
-16.769 12.372 6.480 Mo
```

***

Which of these has the highest calculated volume?
AcPm2Dy4Tm

***

Which of these has the lowest calculated volume?
NaErSnHg